Entry 1:
{"formula": "Nb3Ir5", "functional": "PBE", "state": "optimized geometry", "dos_at_fermi_per_ev_fu": 7.74, "formation_energy_ev_per_atom": -0.5117, "total_magnetization_mub_per_atom": 0.00, "cell": [[3.928, -4.018, 0.000], [3.928, 4.018, 0.000], [0.000, 0.000, 3.983]], "species": ["Nb", "Nb", "Nb", "Ir", "Ir", "Ir", "Ir", "Ir"], "frac_coords": [[0.000, 0.000, 0.000], [0.264, 0.736, 0.500], [0.736, 0.264, 0.500], [0.000, 0.500, 0.000], [0.248, 0.248, 0.500], [0.500, 0.000, 0.000], [0.500, 0.500, 0.000], [0.752, 0.752, 0.500]]}

---

Entry 2:
{"formula": "Nb2Ir3", "functional": "PBE", "state": "optimized geometry", "dos_at_fermi_per_ev_fu": 3.65, "formation_energy_ev_per_atom": -0.2657, "total_magnetization_mub_per_atom": 0.00, "cell": [[10.015, 0.000, 0.000], [0.000, 4.393, 0.000], [0.000, 0.000, 7.760]], "species": ["Nb", "Nb", "Nb", "Nb", "Nb", "Nb", "Nb", "Nb", "Ir", "Ir", "Ir", "Ir", "Ir", "Ir", "Ir", "Ir", "Ir", "Ir", "Ir", "Ir"], "frac_coords": [[0.006, 0.250, 0.166], [0.202, 0.250, 0.516], [0.298, 0.750, 0.016], [0.494, 0.750, 0.666], [0.506, 0.250, 0.334], [0.702, 0.250, 0.984], [0.798, 0.750, 0.484], [0.994, 0.750, 0.834], [0.060, 0.750, 0.396], [0.141, 0.250, 0.874], [0.238, 0.750, 0.685], [0.262, 0.250, 0.185], [0.359, 0.750, 0.374], [0.440, 0.250, 0.896], [0.560, 0.750, 0.104], [0.641, 0.250, 0.626], [0.738, 0.750, 0.815], [0.762, 0.250, 0.315], [0.859, 0.750, 0.126], [0.940, 0.250, 0.604]]}

---

Entry 3:
{"formula": "NbIr", "functional": "PBE", "state": "optimized geometry", "dos_at_fermi_per_ev_fu": 2.48, "formation_energy_ev_per_atom": 0.1167, "total_magnetization_mub_per_atom": 0.00, "cell": [[0.000, 2.642, 2.642], [2.642, 0.000, 2.642], [2.642, 2.642, 0.000]], "species": ["Nb", "Ir"], "frac_coords": [[0.000, 0.000, 0.000], [0.500, 0.500, 0.500]]}

---

Entry 4:
{"formula": "NbIr", "functional": "PBE", "state": "optimized geometry", "dos_at_fermi_per_ev_fu": 1.83, "formation_energy_ev_per_atom": -0.5214, "total_magnetization_mub_per_atom": 0.00, "cell": [[2.873, 0.000, 0.000], [0.000, 2.873, 0.000], [0.000, 0.000, 3.906]], "species": ["Nb", "Ir"], "frac_coords": [[0.000, 0.000, 0.000], [0.500, 0.500, 0.500]]}